Density functional theory data (PBE) for a relaxed LiCePmSn crystal.

Output
Formation enthalpy at 0 K, eV per atom: -0.3259
Space group: F-43m
D(E_F), states/eV per atom: 2.6230
Total magnetic moment, μB/atom: 0.329
Crystal system: cubic
DFT total energy, eV/atom: -4.476

Cell: 5.3734 5.3734 5.3734 Å, 60.00 60.00 60.00°
Last column: nearest neighbours and their distance in Å.
Fractional positions:
Li: 0.7500 0.7500 0.7500  4 Ce 3.29, 4 Pm 3.29
Sn: 0.2500 0.2500 0.2500  4 Ce 3.29, 4 Pm 3.29
Ce: 0.5000 0.5000 0.5000  4 Sn 3.29, 4 Li 3.29
Pm: 0.0000 0.0000 0.0000  4 Sn 3.29, 4 Li 3.29